(1)
Computed, not measured: crystalline CeCo3Cu2 at its relaxed geometry at the PBE-GGA level of DFT.

The structure in extended XYZ format:
```
6
Lattice="4.964 0.000 0.000 -2.482 4.299 0.000 0.000 0.000 4.039" Properties=species:S:1:pos:R:3 pbc="T T T"
Ce 0.000 0.000 0.000
Co -1.241 2.150 2.019
Co 2.482 0.000 2.019
Co 1.241 2.150 2.019
Cu 0.000 2.866 0.000
Cu 2.482 1.433 0.000
```

Results
The calculation puts the uncorrected energy at -35.95 eV per formula unit. The value obtained for the calculated formation energy is -0.08 eV/atom. The calculation puts the total magnetization at 2.95 μB/cell. Its symmetry is P6/mmm, No. 191.


(2)
Computed, not measured: crystalline CeCoCu at its relaxed geometry at the PBE-GGA level of DFT.

The structure in extended XYZ format:
```
6
Lattice="3.524 0.000 0.000 0.000 3.574 0.000 -1.753 0.000 8.209" Properties=species:S:1:pos:R:3 pbc="T T T"
Ce 0.001 0.893 1.700
Ce 1.770 2.680 6.509
Co 0.009 0.893 7.272
Co 1.762 2.680 0.937
Cu 0.007 0.893 4.655
Cu 1.764 2.680 3.554
```

Results
The calculation puts the uncorrected energy at -17.55 eV per formula unit. The value obtained for the calculated formation energy is -0.14 eV/atom. The calculation puts the total magnetization at 0.00 μB/cell. Its symmetry is P2_1/m, No. 11.


(3)
Computed, not measured: crystalline Ce2Co9Cu at its relaxed geometry at the PBE-GGA level of DFT.

The structure in extended XYZ format:
```
12
Lattice="2.409 1.391 8.233 -2.409 1.391 8.233 0.000 -2.782 8.233" Properties=species:S:1:pos:R:3 pbc="T T T"
Ce 0.000 0.000 3.328
Ce 0.000 0.000 21.370
Co -1.205 -0.696 10.195
Co 0.000 0.000 8.243
Co 0.000 -1.391 14.502
Co -1.205 0.696 14.502
Co 0.000 0.000 12.349
Co 1.205 -0.696 10.195
Co 0.000 1.391 10.195
Co 0.000 0.000 16.455
Co 1.205 0.696 14.502
Cu 0.000 0.000 0.000
```

Results
The calculation puts the uncorrected energy at -79.55 eV per formula unit. The value obtained for the calculated formation energy is 0.03 eV/atom. The calculation puts the total magnetization at 9.48 μB/cell. Its symmetry is R-3m, No. 166.


(4)
Computed, not measured: crystalline Ce3Co8Cu at its relaxed geometry at the PBE-GGA level of DFT.

The structure in extended XYZ format:
```
12
Lattice="2.473 1.428 8.131 -2.473 1.428 8.131 0.000 -2.855 8.131" Properties=species:S:1:pos:R:3 pbc="T T T"
Ce 0.000 0.000 0.000
Ce 0.000 0.000 3.194
Ce 0.000 0.000 15.016
Co 0.000 -1.424 5.520
Co -1.234 0.712 5.520
Co -1.218 -0.703 9.712
Co 0.000 0.000 7.596
Co 1.234 0.712 5.520
Co 1.218 -0.703 9.712
Co 0.000 1.406 9.712
Co 0.000 0.000 19.821
Cu 0.000 0.000 12.072
```

Results
The calculation puts the uncorrected energy at -80.49 eV per formula unit. The value obtained for the calculated formation energy is -0.15 eV/atom. The calculation puts the total magnetization at 4.77 μB/cell. Its symmetry is R3m, No. 160.